First-principles (meta-GGA SCAN) data for a PBEsol-optimized structure of TaRe3, as listed in Alexandria via LeMat-Bulk.

Summary:
- Volume: 15.43 A^3/atom
- Energy of formation from the pure elements: 0.007 eV per atom

a b c (Å): 2.769 2.769 8.046
angles (deg): 90.00 90.00 90.00
Sites, in units of the cell vectors:
Ta  0.500  0.500  0.500
Re  0.000  0.000  0.231
Re  0.500  0.500  0.000
Re  0.000  0.000  0.769